[1]
# RbPd2W | the Alexandria database | PBE | optimized geometry
# - Calculated formation energy: 5.04 eV/f.u.
# - Excess energy over the best structure of this formula in the dataset: 0.177 eV per atom
# - Total magnetization: 0.57 μB per atom
# - Fermi-level density of states: 1.09 states/eV per atom
# - VASP energy: -19.3 eV per cell
# - Calculated density: 9.92 Mg/m³
data_RbPd2W
_chemical_formula_sum 'Rb1 Pd2 W1'
_symmetry_space_group_name_H-M 'P 1'
_symmetry_Int_Tables_number 1
_symmetry_space_group_name_Hall 'P 1'
_cell_length_a 4.850
_cell_length_b 4.850
_cell_length_c 4.850
_cell_angle_alpha 60.00
_cell_angle_beta 60.00
_cell_angle_gamma 60.00
loop_
_atom_site_label
_atom_site_type_symbol
_atom_site_fract_x
_atom_site_fract_y
_atom_site_fract_z
Rb1 Rb 0.000 0.000 0.000
Pd1 Pd 0.250 0.250 0.250
Pd2 Pd 0.750 0.750 0.750
W1 W 0.500 0.500 0.500

=====

[2]
# CoCuSe | the Alexandria database | PBE | optimized geometry
# - Excess energy over the best structure of this formula in the dataset: 0.175 eV per atom
# - Total magnetization: 0.00 μB per atom
# - Fermi-level density of states: 0.42 states/eV per atom
# - VASP energy: -14.1 eV per cell
# - Raw formation energy: 0.1892 eV/atom
# - Calculated density: 8.08 Mg/m³
data_CoCuSe
_chemical_formula_sum 'Co1 Cu1 Se1'
_symmetry_space_group_name_H-M 'P 1'
_symmetry_Int_Tables_number 1
_symmetry_space_group_name_Hall 'P 1'
_cell_length_a 4.741
_cell_length_b 4.741
_cell_length_c 4.741
_cell_angle_alpha 141.27
_cell_angle_beta 141.27
_cell_angle_gamma 55.93
loop_
_atom_site_label
_atom_site_type_symbol
_atom_site_fract_x
_atom_site_fract_y
_atom_site_fract_z
Co1 Co 0.025 0.025 0.000
Cu1 Cu 0.340 0.340 0.000
Se1 Se 0.635 0.635 0.000

=====

[3]
# Er2PaGa | the Alexandria database | PBE | optimized geometry
# - Calculated formation energy: -0.72 eV/f.u.
# - Excess energy over the best structure of this formula in the dataset: 0.000 eV per atom
# - Total magnetization: 0.09 μB per atom
# - Fermi-level density of states: 1.25 states/eV per atom
# - VASP energy: -22.4 eV per cell
# - Calculated density: 10.57 Mg/m³
data_Er2PaGa
_chemical_formula_sum 'Er2 Pa1 Ga1'
_symmetry_space_group_name_H-M 'P 1'
_symmetry_Int_Tables_number 1
_symmetry_space_group_name_Hall 'P 1'
_cell_length_a 3.379
_cell_length_b 3.379
_cell_length_c 8.744
_cell_angle_alpha 90.00
_cell_angle_beta 90.00
_cell_angle_gamma 90.00
loop_
_atom_site_label
_atom_site_type_symbol
_atom_site_fract_x
_atom_site_fract_y
_atom_site_fract_z
Pa1 Pa 0.500 0.500 0.500
Ga1 Ga 0.500 0.500 0.000
Er1 Er 0.000 0.000 0.779
Er2 Er 0.000 0.000 0.221

=====

[4]
# Ho8Cd2Os | the Alexandria database | PBE | optimized geometry
# - Calculated formation energy: -1.99 eV/f.u.
# - Total magnetization: 0.00 μB per atom
# - Fermi-level density of states: 0.73 states/eV per atom
# - VASP energy: -51.7 eV per cell
# - Calculated density: 9.57 Mg/m³
data_Ho8Cd2Os
_chemical_formula_sum 'Ho8 Cd2 Os1'
_symmetry_space_group_name_H-M 'P 1'
_symmetry_Int_Tables_number 1
_symmetry_space_group_name_Hall 'P 1'
_cell_length_a 5.283
_cell_length_b 6.949
_cell_length_c 9.143
_cell_angle_alpha 109.55
_cell_angle_beta 106.79
_cell_angle_gamma 90.00
loop_
_atom_site_label
_atom_site_type_symbol
_atom_site_fract_x
_atom_site_fract_y
_atom_site_fract_z
Ho1 Ho 0.407 0.580 0.814
Ho2 Ho 0.652 0.951 0.305
Ho3 Ho 0.803 0.714 0.607
Ho4 Ho 0.980 0.210 0.960
Ho5 Ho 0.197 0.286 0.393
Ho6 Ho 0.348 0.049 0.695
Ho7 Ho 0.593 0.420 0.186
Ho8 Ho 0.020 0.790 0.040
Cd1 Cd 0.819 0.297 0.638
Cd2 Cd 0.181 0.703 0.362
Os1 Os 0.500 0.000 0.000

=====

[5]
# TbSi3Ru2 | the Alexandria database | PBE | optimized geometry
# - Total magnetization: 0.00 μB per atom
# - Fermi-level density of states: 0.51 states/eV per atom
# - VASP energy: -87.3 eV per cell
# - Raw formation energy: -0.7023 eV/atom
# - Calculated density: 7.63 Mg/m³
data_TbSi3Ru2
_chemical_formula_sum 'Tb2 Si6 Ru4'
_symmetry_space_group_name_H-M 'P 1'
_symmetry_Int_Tables_number 1
_symmetry_space_group_name_Hall 'P 1'
_cell_length_a 5.607
_cell_length_b 5.951
_cell_length_c 5.951
_cell_angle_alpha 102.41
_cell_angle_beta 90.00
_cell_angle_gamma 90.00
loop_
_atom_site_label
_atom_site_type_symbol
_atom_site_fract_x
_atom_site_fract_y
_atom_site_fract_z
Tb1 Tb 0.250 0.340 0.340
Tb2 Tb 0.750 0.660 0.660
Si1 Si 0.750 0.458 0.118
Si2 Si 0.750 0.118 0.458
Si3 Si 0.250 0.542 0.882
Si4 Si 0.750 0.051 0.051
Si5 Si 0.250 0.949 0.949
Si6 Si 0.250 0.882 0.542
Ru1 Ru 0.500 0.791 0.209
Ru2 Ru 0.000 0.791 0.209
Ru3 Ru 0.000 0.209 0.791
Ru4 Ru 0.500 0.209 0.791

=====

[6]
# Tl2SbSeF3 | the Alexandria database | PBE | optimized geometry
# - Total magnetization: 0.00 μB per atom
# - VASP energy: -28.3 eV per cell
# - Raw formation energy: -1.4714 eV/atom
# - Calculated density: 5.98 Mg/m³
data_Tl2SbSeF3
_chemical_formula_sum 'Tl2 Sb1 Se1 F3'
_symmetry_space_group_name_H-M 'P 1'
_symmetry_Int_Tables_number 1
_symmetry_space_group_name_Hall 'P 1'
_cell_length_a 5.680
_cell_length_b 4.519
_cell_length_c 8.067
_cell_angle_alpha 106.27
_cell_angle_beta 110.61
_cell_angle_gamma 90.00
loop_
_atom_site_label
_atom_site_type_symbol
_atom_site_fract_x
_atom_site_fract_y
_atom_site_fract_z
Tl1 Tl 0.656 0.656 0.312
Tl2 Tl 0.344 0.344 0.688
Sb1 Sb 0.000 0.000 0.000
Se1 Se 0.500 0.000 0.000
F1 F 0.000 0.500 0.000
F2 F 0.150 0.150 0.301
F3 F 0.850 0.850 0.699

=====

[7]
# TbU2Co9 | the Alexandria database | PBE | optimized geometry
# - Calculated formation energy: -2.08 eV/f.u.
# - Total magnetization: 0.39 μB per atom
# - Fermi-level density of states: 1.48 states/eV per atom
# - VASP energy: -93.2 eV per cell
# - Calculated density: 11.69 Mg/m³
data_TbU2Co9
_chemical_formula_sum 'Tb1 U2 Co9'
_symmetry_space_group_name_H-M 'P 1'
_symmetry_Int_Tables_number 1
_symmetry_space_group_name_Hall 'P 1'
_cell_length_a 4.845
_cell_length_b 4.845
_cell_length_c 8.608
_cell_angle_alpha 73.65
_cell_angle_beta 73.65
_cell_angle_gamma 60.00
loop_
_atom_site_label
_atom_site_type_symbol
_atom_site_fract_x
_atom_site_fract_y
_atom_site_fract_z
Tb1 Tb 0.000 0.000 0.000
U1 U 0.859 0.859 0.422
U2 U 0.141 0.141 0.578
Co1 Co 0.667 0.667 0.998
Co2 Co 0.333 0.333 0.002
Co3 Co 0.500 0.500 0.500
Co4 Co 0.418 0.418 0.247
Co5 Co 0.916 0.418 0.247
Co6 Co 0.418 0.916 0.247
Co7 Co 0.582 0.582 0.753
Co8 Co 0.582 0.084 0.753
Co9 Co 0.084 0.582 0.753

=====

[8]
# EuLuAgRh | the Alexandria database | PBE | optimized geometry
# - Calculated formation energy: -1.73 eV/f.u.
# - Total magnetization: 1.74 μB per atom
# - Fermi-level density of states: 1.84 states/eV per atom
# - VASP energy: -26.7 eV per cell
# - Calculated density: 10.08 Mg/m³
data_EuLuAgRh
_chemical_formula_sum 'Eu1 Lu1 Ag1 Rh1'
_symmetry_space_group_name_H-M 'P 1'
_symmetry_Int_Tables_number 1
_symmetry_space_group_name_Hall 'P 1'
_cell_length_a 5.004
_cell_length_b 5.004
_cell_length_c 5.004
_cell_angle_alpha 60.00
_cell_angle_beta 60.00
_cell_angle_gamma 60.00
loop_
_atom_site_label
_atom_site_type_symbol
_atom_site_fract_x
_atom_site_fract_y
_atom_site_fract_z
Eu1 Eu 0.000 0.000 0.000
Lu1 Lu 0.500 0.500 0.500
Rh1 Rh 0.750 0.750 0.750
Ag1 Ag 0.250 0.250 0.250

=====

[9]
# In4IrAu | the Alexandria database | PBE | optimized geometry
# - Calculated formation energy: 3.96 eV/f.u.
# - Excess energy over the best structure of this formula in the dataset: 0.867 eV per atom
# - Total magnetization: 0.00 μB per atom
# - Fermi-level density of states: 0.64 states/eV per atom
# - VASP energy: -19.1 eV per cell
# - Calculated density: 10.43 Mg/m³
data_In4IrAu
_chemical_formula_sum 'In4 Ir1 Au1'
_symmetry_space_group_name_H-M 'P 1'
_symmetry_Int_Tables_number 1
_symmetry_space_group_name_Hall 'P 1'
_cell_length_a 5.760
_cell_length_b 5.760
_cell_length_c 5.760
_cell_angle_alpha 60.00
_cell_angle_beta 60.00
_cell_angle_gamma 60.00
loop_
_atom_site_label
_atom_site_type_symbol
_atom_site_fract_x
_atom_site_fract_y
_atom_site_fract_z
In1 In 0.874 0.375 0.375
In2 In 0.375 0.375 0.874
In3 In 0.375 0.874 0.375
In4 In 0.375 0.375 0.375
Ir1 Ir 0.750 0.750 0.750
Au1 Au 0.000 0.000 0.000

=====

[10]
# ZnCo2Cl | the Alexandria database | PBE | optimized geometry
# - Excess energy over the best structure of this formula in the dataset: 0.230 eV per atom
# - Total magnetization: 0.83 μB per atom
# - Fermi-level density of states: 1.43 states/eV per atom
# - VASP energy: -16.1 eV per cell
# - Raw formation energy: 0.3083 eV/atom
# - Calculated density: 6.75 Mg/m³
data_ZnCo2Cl
_chemical_formula_sum 'Zn1 Co2 Cl1'
_symmetry_space_group_name_H-M 'P 1'
_symmetry_Int_Tables_number 1
_symmetry_space_group_name_Hall 'P 1'
_cell_length_a 7.741
_cell_length_b 7.741
_cell_length_c 7.741
_cell_angle_alpha 21.35
_cell_angle_beta 21.35
_cell_angle_gamma 21.35
loop_
_atom_site_label
_atom_site_type_symbol
_atom_site_fract_x
_atom_site_fract_y
_atom_site_fract_z
Zn1 Zn 0.250 0.250 0.250
Co1 Co 0.003 0.003 0.003
Co2 Co 0.497 0.497 0.497
Cl1 Cl 0.750 0.750 0.750

=====

[11]
# AlCrSeBr2 | the Alexandria database | PBE | optimized geometry
# - Excess energy over the best structure of this formula in the dataset: 0.000 eV per atom
# - Total magnetization: 0.60 μB per atom
# - Fermi-level density of states: 0.37 states/eV per atom
# - VASP energy: -20.9 eV per cell
# - Raw formation energy: -0.1451 eV/atom
# - Calculated density: 3.97 Mg/m³
data_AlCrSeBr2
_chemical_formula_sum 'Al1 Cr1 Se1 Br2'
_symmetry_space_group_name_H-M 'P 1'
_symmetry_Int_Tables_number 1
_symmetry_space_group_name_Hall 'P 1'
_cell_length_a 5.253
_cell_length_b 5.253
_cell_length_c 4.819
_cell_angle_alpha 90.00
_cell_angle_beta 90.00
_cell_angle_gamma 90.00
loop_
_atom_site_label
_atom_site_type_symbol
_atom_site_fract_x
_atom_site_fract_y
_atom_site_fract_z
Cr1 Cr 0.000 0.000 0.000
Se1 Se 0.000 0.000 0.500
Br1 Br 0.000 0.500 0.000
Br2 Br 0.500 0.000 0.000
Al1 Al 0.500 0.500 0.500

=====

[12]
# LaZrIn2 | the Alexandria database | PBE | optimized geometry
# - Calculated formation energy: -0.63 eV/f.u.
# - Total magnetization: 0.26 μB per atom
# - Fermi-level density of states: 1.32 states/eV per atom
# - VASP energy: -19.6 eV per cell
# - Calculated density: 7.18 Mg/m³
data_LaZrIn2
_chemical_formula_sum 'La1 Zr1 In2'
_symmetry_space_group_name_H-M 'P 1'
_symmetry_Int_Tables_number 1
_symmetry_space_group_name_Hall 'P 1'
_cell_length_a 10.888
_cell_length_b 10.888
_cell_length_c 10.888
_cell_angle_alpha 17.88
_cell_angle_beta 17.88
_cell_angle_gamma 17.88
loop_
_atom_site_label
_atom_site_type_symbol
_atom_site_fract_x
_atom_site_fract_y
_atom_site_fract_z
In1 In 0.006 0.006 0.006
In2 In 0.494 0.494 0.494
La1 La 0.250 0.250 0.250
Zr1 Zr 0.750 0.750 0.750

=====

[13]
# Co2ReAsI | the Alexandria database | PBE | optimized geometry
# - Total magnetization: 0.00 μB per atom
# - Fermi-level density of states: 1.34 states/eV per atom
# - VASP energy: -24.8 eV per cell
# - Raw formation energy: 1.6173 eV/atom
# - Calculated density: 7.86 Mg/m³
data_Co2ReAsI
_chemical_formula_sum 'Co2 Re1 As1 I1'
_symmetry_space_group_name_H-M 'P 1'
_symmetry_Int_Tables_number 1
_symmetry_space_group_name_Hall 'P 1'
_cell_length_a 4.504
_cell_length_b 4.504
_cell_length_c 5.269
_cell_angle_alpha 90.00
_cell_angle_beta 90.00
_cell_angle_gamma 90.00
loop_
_atom_site_label
_atom_site_type_symbol
_atom_site_fract_x
_atom_site_fract_y
_atom_site_fract_z
I1 I 0.000 0.000 0.500
Re1 Re 0.000 0.000 0.000
As1 As 0.500 0.500 0.500
Co1 Co 0.000 0.500 0.000
Co2 Co 0.500 0.000 0.000